1.
Compound: Ba2TbBiO6
Source: the Alexandria database
Functional: GGA-PBEsol
Structure: relaxed

```
data_Ba2TbBiO6
_space_group_name_H-M_alt 'F m -3 m'
_space_group_IT_number 225
_space_group_name_Hall '-F 4 2 3'
_cell_length_a 8.6211
_cell_length_b 8.6211
_cell_length_c 8.6211
_cell_angle_alpha 90.00
_cell_angle_beta 90.00
_cell_angle_gamma 90.00
loop_
_atom_site_label
_atom_site_type_symbol
_atom_site_fract_x
_atom_site_fract_y
_atom_site_fract_z
Ba1 Ba 0.2500 0.2500 0.2500
Tb1 Tb 0.0000 0.0000 0.0000
Bi1 Bi 0.0000 0.0000 0.5000
O1 O 0.0000 0.0000 0.2559
```

Properties
- D(E_F) (states/eV/f.u.) = 0.0
- mass density (g/cm³) = 7.656
- ΔE_f (raw) (eV per atom) = -2.445

2.
Compound: KNi2Ag
Source: the Alexandria database
Functional: GGA-PBEsol
Structure: relaxed

```
data_KNi2Ag
_space_group_name_H-M_alt 'P m m m'
_space_group_IT_number 47
_cell_length_a 2.6723
_cell_length_b 4.0095
_cell_length_c 6.8305
_cell_angle_alpha 90.00
_cell_angle_beta 90.00
_cell_angle_gamma 90.00
loop_
_space_group_symop_operation_xyz
'x,y,z'
'-x,-y,-z'
'-x,-y,z'
'x,y,-z'
'x,-y,-z'
'-x,y,z'
'-x,y,-z'
'x,-y,z'
loop_
_atom_site_label
_atom_site_type_symbol
_atom_site_fract_x
_atom_site_fract_y
_atom_site_fract_z
K1 K 0.0000 0.0000 0.0000
Ni1 Ni 0.5000 0.5000 0.3354
Ag1 Ag 0.0000 0.0000 0.5000
```

Properties
- D(E_F) (states/eV/f.u.) = 5.9
- formation energy (meV per atom) = 628
- mass density (g/cm³) = 5.998
- polymorph energy (0 for the lowest one) (meV/atom) = 0

3.
Compound: Ca2Mg2Zn
Source: the Alexandria database
Functional: GGA-PBEsol
Structure: relaxed

```
data_Ca2Mg2Zn
_space_group_name_H-M_alt 'I m m m'
_space_group_IT_number 71
_space_group_name_Hall '-I 2 2'
_cell_length_a 4.6201
_cell_length_b 5.9691
_cell_length_c 9.9451
_cell_angle_alpha 90.00
_cell_angle_beta 90.00
_cell_angle_gamma 90.00
loop_
_atom_site_label
_atom_site_type_symbol
_atom_site_fract_x
_atom_site_fract_y
_atom_site_fract_z
Ca1 Ca 0.0000 0.0000 0.1961
Mg1 Mg 0.0000 0.2499 0.5000
Zn1 Zn 0.0000 0.5000 0.0000
```

Properties
- D(E_F) (states/eV/f.u.) = 3.5
- formation energy (meV per atom) = -59
- mass density (g/cm³) = 2.351
- polymorph energy (0 for the lowest one) (meV/atom) = 56

4.
Compound: TiAg3Hg
Source: the Alexandria database
Functional: GGA-PBEsol
Structure: relaxed

```
data_TiAg3Hg
_space_group_name_H-M_alt 'P m -3 m'
_space_group_IT_number 221
_space_group_name_Hall '-P 4 2 3'
_cell_length_a 5.0130
_cell_length_b 5.0130
_cell_length_c 5.0130
_cell_angle_alpha 90.00
_cell_angle_beta 90.00
_cell_angle_gamma 90.00
loop_
_atom_site_label
_atom_site_type_symbol
_atom_site_fract_x
_atom_site_fract_y
_atom_site_fract_z
Ti1 Ti 0.0000 0.0000 0.0000
Ag1 Ag 0.0000 0.5000 0.5000
Hg1 Hg 0.5000 0.5000 0.5000
```

Properties
- D(E_F) (states/eV/f.u.) = 6.5
- formation energy (meV per atom) = 1055
- mass density (g/cm³) = 7.541

5.
Compound: KAgAu3
Source: the Alexandria database
Functional: GGA-PBEsol
Structure: relaxed

```
data_KAgAu3
_space_group_name_H-M_alt 'P m -3 m'
_space_group_IT_number 221
_space_group_name_Hall '-P 4 2 3'
_cell_length_a 5.1022
_cell_length_b 5.1022
_cell_length_c 5.1022
_cell_angle_alpha 90.00
_cell_angle_beta 90.00
_cell_angle_gamma 90.00
loop_
_atom_site_label
_atom_site_type_symbol
_atom_site_fract_x
_atom_site_fract_y
_atom_site_fract_z
K1 K 0.0000 0.0000 0.0000
Ag1 Ag 0.5000 0.5000 0.5000
Au1 Au 0.0000 0.5000 0.5000
```

Properties
- D(E_F) (states/eV/f.u.) = 1.6
- formation energy (meV per atom) = 326
- mass density (g/cm³) = 9.225

6.
Compound: Mg2NiW
Source: the Alexandria database
Functional: GGA-PBEsol
Structure: relaxed

```
data_Mg2NiW
_space_group_name_H-M_alt 'P 4/m m m'
_space_group_IT_number 123
_space_group_name_Hall '-P 4 2'
_cell_length_a 3.8175
_cell_length_b 3.8175
_cell_length_c 4.1440
_cell_angle_alpha 90.00
_cell_angle_beta 90.00
_cell_angle_gamma 90.00
loop_
_atom_site_label
_atom_site_type_symbol
_atom_site_fract_x
_atom_site_fract_y
_atom_site_fract_z
Mg1 Mg 0.0000 0.5000 0.0000
Ni1 Ni 0.0000 0.0000 0.5000
W1 W 0.5000 0.5000 0.5000
```

Properties
- D(E_F) (states/eV/f.u.) = 4.2
- formation energy (meV per atom) = 497
- mass density (g/cm³) = 8.005
- polymorph energy (0 for the lowest one) (meV/atom) = 145

7.
Compound: HfWSe3
Source: the Alexandria database
Functional: GGA-PBEsol
Structure: relaxed

```
data_HfWSe3
_space_group_name_H-M_alt 'P m -3 m'
_space_group_IT_number 221
_space_group_name_Hall '-P 4 2 3'
_cell_length_a 5.0367
_cell_length_b 5.0367
_cell_length_c 5.0367
_cell_angle_alpha 90.00
_cell_angle_beta 90.00
_cell_angle_gamma 90.00
loop_
_atom_site_label
_atom_site_type_symbol
_atom_site_fract_x
_atom_site_fract_y
_atom_site_fract_z
Hf1 Hf 0.0000 0.0000 0.0000
W1 W 0.5000 0.5000 0.5000
Se1 Se 0.0000 0.0000 0.5000
```

Properties
- D(E_F) (states/eV/f.u.) = 3.9
- mass density (g/cm³) = 7.787
- ΔE_f (raw) (eV per atom) = 0.745

8.
Compound: ZrScFe2
Source: the Alexandria database
Functional: GGA-PBEsol
Structure: relaxed

```
data_ZrScFe2
_space_group_name_H-M_alt 'I -4 m 2'
_space_group_IT_number 119
_space_group_name_Hall 'I -4 -2'
_cell_length_a 3.6320
_cell_length_b 3.6320
_cell_length_c 9.2901
_cell_angle_alpha 90.00
_cell_angle_beta 90.00
_cell_angle_gamma 90.00
loop_
_atom_site_label
_atom_site_type_symbol
_atom_site_fract_x
_atom_site_fract_y
_atom_site_fract_z
Zr1 Zr 0.0000 0.0000 0.0000
Sc1 Sc 0.0000 0.5000 0.7500
Fe1 Fe 0.0000 0.0000 0.5000
Fe2 Fe 0.0000 0.5000 0.2500
```

Properties
- D(E_F) (states/eV/f.u.) = 3.1
- formation energy (meV per atom) = 68
- mass density (g/cm³) = 6.717

9.
Compound: TaW4
Source: the Alexandria database
Functional: GGA-PBEsol
Structure: relaxed

```
data_TaW4
_space_group_name_H-M_alt 'I 4/m'
_space_group_IT_number 87
_space_group_name_Hall '-I 4'
_cell_length_a 7.0998
_cell_length_b 7.0998
_cell_length_c 3.1716
_cell_angle_alpha 90.00
_cell_angle_beta 90.00
_cell_angle_gamma 90.00
loop_
_atom_site_label
_atom_site_type_symbol
_atom_site_fract_x
_atom_site_fract_y
_atom_site_fract_z
Ta1 Ta 0.0000 0.0000 0.0000
W1 W 0.1010 0.3027 0.5000
```

Properties
- D(E_F) (states/eV/f.u.) = 2.0
- formation energy (meV per atom) = -75
- mass density (g/cm³) = 19.035
- polymorph energy (0 for the lowest one) (meV/atom) = 0

10.
Compound: CdTe2AsN
Source: the Alexandria database
Functional: GGA-PBEsol
Structure: relaxed

```
data_CdTe2AsN
_space_group_name_H-M_alt 'P 4/m m m'
_space_group_IT_number 123
_space_group_name_Hall '-P 4 2'
_cell_length_a 5.6308
_cell_length_b 5.6308
_cell_length_c 3.5954
_cell_angle_alpha 90.00
_cell_angle_beta 90.00
_cell_angle_gamma 90.00
loop_
_atom_site_label
_atom_site_type_symbol
_atom_site_fract_x
_atom_site_fract_y
_atom_site_fract_z
Cd1 Cd 0.0000 0.0000 0.0000
Te1 Te 0.0000 0.5000 0.5000
As1 As 0.5000 0.5000 0.5000
N1 N 0.5000 0.5000 0.0000
```

Properties
- D(E_F) (states/eV/f.u.) = 2.9
- mass density (g/cm³) = 6.650
- ΔE_f (raw) (eV per atom) = 0.632

11.
Compound: HfMn2Co2
Source: the Alexandria database
Functional: GGA-PBEsol
Structure: relaxed

```
data_HfMn2Co2
_space_group_name_H-M_alt 'I 4/m m m'
_space_group_IT_number 139
_space_group_name_Hall '-I 4 2'
_cell_length_a 3.7042
_cell_length_b 3.7042
_cell_length_c 9.2245
_cell_angle_alpha 90.00
_cell_angle_beta 90.00
_cell_angle_gamma 90.00
loop_
_atom_site_label
_atom_site_type_symbol
_atom_site_fract_x
_atom_site_fract_y
_atom_site_fract_z
Hf1 Hf 0.0000 0.0000 0.0000
Mn1 Mn 0.0000 0.0000 0.3951
Co1 Co 0.0000 0.5000 0.2500
```

Properties
- D(E_F) (states/eV/f.u.) = 4.0
- formation energy (meV per atom) = -40
- mass density (g/cm³) = 10.659

12.
Compound: ScCdAg2
Source: the Alexandria database
Functional: GGA-PBEsol
Structure: relaxed

```
data_ScCdAg2
_space_group_name_H-M_alt 'P 4/m m m'
_space_group_IT_number 123
_space_group_name_Hall '-P 4 2'
_cell_length_a 3.4027
_cell_length_b 3.4027
_cell_length_c 6.4226
_cell_angle_alpha 90.00
_cell_angle_beta 90.00
_cell_angle_gamma 90.00
loop_
_atom_site_label
_atom_site_type_symbol
_atom_site_fract_x
_atom_site_fract_y
_atom_site_fract_z
Sc1 Sc 0.0000 0.0000 0.0000
Cd1 Cd 0.0000 0.0000 0.5000
Ag1 Ag 0.5000 0.5000 0.2452
```

Properties
- D(E_F) (states/eV/f.u.) = 2.2
- formation energy (meV per atom) = -220
- mass density (g/cm³) = 8.331

13.
Compound: SiSb2Br
Source: the Alexandria database
Functional: GGA-PBEsol
Structure: relaxed

```
data_SiSb2Br
_space_group_name_H-M_alt 'F -4 3 m'
_space_group_IT_number 216
_space_group_name_Hall 'F -4 2 3'
_cell_length_a 7.1715
_cell_length_b 7.1715
_cell_length_c 7.1715
_cell_angle_alpha 90.00
_cell_angle_beta 90.00
_cell_angle_gamma 90.00
loop_
_atom_site_label
_atom_site_type_symbol
_atom_site_fract_x
_atom_site_fract_y
_atom_site_fract_z
Si1 Si 0.0000 0.0000 0.0000
Sb1 Sb 0.0000 0.0000 0.5000
Sb2 Sb 0.2500 0.2500 0.2500
Br1 Br 0.2500 0.2500 0.7500
```

Properties
- D(E_F) (states/eV/f.u.) = 1.4
- mass density (g/cm³) = 6.330
- polymorph energy (0 for the lowest one) (meV/atom) = 191
- ΔE_f (raw) (eV per atom) = 0.277

14.
Compound: FeRe7
Source: the Alexandria database
Functional: GGA-PBEsol
Structure: relaxed

```
data_FeRe7
_space_group_name_H-M_alt 'F m -3 m'
_space_group_IT_number 225
_space_group_name_Hall '-F 4 2 3'
_cell_length_a 7.6887
_cell_length_b 7.6887
_cell_length_c 7.6887
_cell_angle_alpha 90.00
_cell_angle_beta 90.00
_cell_angle_gamma 90.00
loop_
_atom_site_label
_atom_site_type_symbol
_atom_site_fract_x
_atom_site_fract_y
_atom_site_fract_z
Fe1 Fe 0.0000 0.0000 0.0000
Re1 Re 0.0000 0.0000 0.5000
Re2 Re 0.0000 0.2500 0.2500
```

Properties
- D(E_F) (states/eV/f.u.) = 6.5
- formation energy (meV per atom) = 84
- mass density (g/cm³) = 19.864